1.
CaZrTe3 | PBE | optimized geometry

The space group is Pm-3m (No. 221) and the conventional cell measures 5.631, 5.631 and 5.631 Å, with angles of 90.00, 90.00 and 90.00 degrees. The distinct sites, in fractional coordinates, are Ca at (0.000, 0.000, 0.000), Zr at (0.500, 0.500, 0.500) and Te at (0.000, 0.500, 0.500).

As for the energy above the most stable polymorph in this dataset: 0 meV/atom. For the volume, the calculation gives 35.7 A^3/atom. Its size of the total moment is 0.00 Bohr magnetons per cell. The value obtained for the formation energy without anion corrections is -0.704 eV per atom. The calculated density is 4.781 Mg/m³.

---

2.
CaZr3Te | PBE | optimized geometry

The space group is Pm-3m (No. 221) and the conventional cell measures 5.121, 5.121 and 5.121 Å, with angles of 90.00, 90.00 and 90.00 degrees. The distinct sites, in fractional coordinates, are Ca at (0.000, 0.000, 0.000), Zr at (0.000, 0.000, 0.500) and Te at (0.500, 0.500, 0.500).

As for the energy above the most stable polymorph in this dataset: 1063 meV/atom. For the volume, the calculation gives 26.9 A^3/atom. Its size of the total moment is 0.50 Bohr magnetons per cell. The value obtained for the formation energy without anion corrections is 1.412 eV per atom. The calculated density is 5.458 Mg/m³.

---

3.
CaZr3Te | PBE | optimized geometry

The space group is Pm-3m (No. 221) and the conventional cell measures 5.372, 5.372 and 5.372 Å, with angles of 90.00, 90.00 and 90.00 degrees. The distinct sites, in fractional coordinates, are Ca at (0.000, 0.000, 0.000), Zr at (0.000, 0.500, 0.500) and Te at (0.500, 0.500, 0.500).

As for the energy above the most stable polymorph in this dataset: 0 meV/atom. For the volume, the calculation gives 31.0 A^3/atom. Its size of the total moment is 0.00 Bohr magnetons per cell. The value obtained for the formation energy without anion corrections is 0.349 eV per atom. The calculated density is 4.727 Mg/m³.